Below is a geometry-optimized TbDyCSe structure, with properties calculated at the GGA-PBE level.

Values from the calculation:
- volume (Å³/atom) = 20.51
- magnetization (μB per formula unit) = 0.0
- ΔE_f (raw) (eV/atom) = -1.0972
- total energy (eV per atom) = -6.582

Cell: 3.7456 3.7456 20.2538 Å, 90.00 90.00 120.00°
Space group R3m (No. 160, hexagonal axes)
Asymmetric unit:
Tb 0.0000 0.0000 0.0000 (multiplicity 3)
Dy 0.0000 0.0000 0.2000 (multiplicity 3)
C 0.0000 0.0000 0.5988 (multiplicity 3)
Se 0.0000 0.0000 0.7681 (multiplicity 3)